# 1
Here is a PBEsol-optimized structure of CsTl2Sn from Alexandria via LeMat-Bulk. Energies are from SCAN.

Results
magnetization = 0.0 Bohr magnetons per cell
E_form = -54 meV/atom
SG = Fm-3m, No. 225
density of states at the Fermi level = 2.35 states/eV per cell

Unit cell a=5.6755 b=5.6755 c=5.6755 alpha=60.00 beta=60.00 gamma=60.00
Last column: nearest neighbours and their distance in Å.
Fractional positions:
Cs 0.5000 0.5000 0.5000  8 Tl 3.48
Sn 0.0000 0.0000 0.0000  8 Tl 3.48
Tl 0.7500 0.7500 0.7500  4 Sn 3.48, 4 Cs 3.48
Tl 0.2500 0.2500 0.2500  4 Sn 3.48, 4 Cs 3.48



# 2
Here is a PBEsol-optimized structure of CsY3Sn from Alexandria via LeMat-Bulk. Energies are from SCAN.

Results
magnetization = 1.3 Bohr magnetons per cell
E_form = 283 meV/atom
SG = Pm-3m, No. 221
density of states at the Fermi level = 7.84 states/eV per cell

Unit cell a=5.8668 b=5.8668 c=5.8668 alpha=90.00 beta=90.00 gamma=90.00
Last column: nearest neighbours and their distance in Å.
Fractional positions:
Cs 0.5000 0.5000 0.5000  12 Y 4.15
Y 0.5000 0.0000 0.0000  2 Sn 2.93
Sn 0.0000 0.0000 0.0000  6 Y 2.93
Y 0.0000 0.0000 0.5000  2 Sn 2.93
Y 0.0000 0.5000 0.0000  2 Sn 2.93



- What is the magnetization in the first record?
  0.0 Bohr magnetons per cell